Entry 1:
A plane-wave DFT calculation with PBE was carried out for a relaxed CsCe2AuS4 crystal.

a b c (Å): 4.214 7.499 14.416
angles (deg): 90.00 90.00 106.32
Last column: magnetic moment on the atom in μB.
Sites, in units of the cell vectors:
Cs (0.113, 0.226, 0.750)  0.00
Cs (0.887, 0.774, 0.250)  0.00
Ce (0.370, 0.739, 0.562)  0.93
Ce (0.630, 0.261, 0.062)  0.93
Ce (0.630, 0.261, 0.438)  0.93
Ce (0.370, 0.739, 0.938)  0.93
Au (0.839, 0.678, 0.750)  0.00
Au (0.161, 0.322, 0.250)  0.00
S (0.257, 0.513, 0.101)  -0.02
S (0.743, 0.487, 0.601)  -0.02
S (0.743, 0.487, 0.899)  -0.02
S (0.257, 0.513, 0.399)  -0.02
S (0.000, 0.000, 0.500)  -0.03
S (0.000, 0.000, 0.000)  -0.03
S (0.432, 0.863, 0.750)  -0.01
S (0.568, 0.137, 0.250)  -0.01

## Properties
As for the theoretical density: 5.6 g/cm3. The calculation puts the total moment at 4.03 μB per cell. As for the total energy: -5.559 eV per atom. The value obtained for the raw formation energy is -144.3 kJ/mol of atoms. The value obtained for the calculated volume is 27.33 Å³/atom.

---

Entry 2:
A plane-wave DFT calculation with PBE was carried out for a relaxed CsCeAuS4 crystal.

a b c (Å): 7.333 5.372 10.268
angles (deg): 90.00 107.80 90.00
Sites, in units of the cell vectors:
Cs (0.757, 0.750, 0.971)
Cs (0.243, 0.250, 0.029)
Ce (0.712, 0.750, 0.449)
Ce (0.288, 0.250, 0.551)
Au (0.252, 0.750, 0.303)
Au (0.748, 0.250, 0.697)
S (0.019, 0.553, 0.681)
S (0.981, 0.053, 0.319)
S (0.981, 0.447, 0.319)
S (0.019, 0.947, 0.681)
S (0.490, 0.750, 0.189)
S (0.510, 0.250, 0.811)
S (0.412, 0.750, 0.563)
S (0.588, 0.250, 0.437)

## Properties
As for the theoretical density: 5.2 g/cm3. The calculation puts the total moment at 0.00 μB per cell. As for the total energy: -4.795 eV per atom. The value obtained for the raw formation energy is -96.4 kJ/mol of atoms. The value obtained for the calculated volume is 27.51 Å³/atom.

---

Entry 3:
A plane-wave DFT calculation with PBE was carried out for a relaxed Cs4Ce3AuS8 crystal.

a b c (Å): 8.216 9.359 8.493
angles (deg): 116.81 118.93 90.00
Last column: magnetic moment on the atom in μB.
Sites, in units of the cell vectors:
Cs (0.500, 0.000, 0.000)  0.00
Cs (0.500, 0.000, 0.500)  0.00
Cs (0.000, 0.000, 0.000)  0.00
Cs (0.000, 0.000, 0.500)  0.00
Ce (0.500, 0.500, 0.000)  0.47
Ce (0.500, 0.500, 0.500)  0.43
Ce (0.000, 0.500, 0.500)  0.43
Au (0.000, 0.500, 0.000)  -0.04
S (0.220, 0.674, 0.943)  -0.02
S (0.252, 0.695, 0.503)  -0.02
S (0.275, 0.315, 0.549)  -0.01
S (0.724, 0.674, 0.943)  -0.02
S (0.276, 0.326, 0.057)  -0.02
S (0.725, 0.685, 0.451)  -0.01
S (0.748, 0.305, 0.497)  -0.02
S (0.780, 0.326, 0.057)  -0.02

## Properties
As for the theoretical density: 4.8 g/cm3. The calculation puts the total moment at 1.12 μB per cell. As for the total energy: -5.009 eV per atom. The value obtained for the raw formation energy is -136.5 kJ/mol of atoms. The value obtained for the calculated volume is 30.62 Å³/atom.

---

Entry 4:
A plane-wave DFT calculation with PBE was carried out for a relaxed CsCeAuS2 crystal.

a b c (Å): 5.260 7.988 8.035
angles (deg): 101.56 90.00 90.00
Last column: magnetic moment on the atom in μB.
Sites, in units of the cell vectors:
Cs (0.164, 0.500, 0.750)  0.01
Cs (0.836, 0.500, 0.250)  0.01
Ce (0.493, 0.000, 0.250)  1.00
Ce (0.507, 0.000, 0.750)  1.00
Au (0.000, 0.000, 0.000)  0.06
Au (0.000, 0.000, 0.500)  0.06
S (0.676, 0.779, 0.959)  0.00
S (0.676, 0.221, 0.541)  0.00
S (0.324, 0.779, 0.459)  0.00
S (0.324, 0.221, 0.041)  0.00

## Properties
As for the theoretical density: 5.4 g/cm3. The calculation puts the total moment at 2.75 μB per cell. As for the total energy: -4.778 eV per atom. The value obtained for the raw formation energy is -107.5 kJ/mol of atoms. The value obtained for the calculated volume is 33.08 Å³/atom.

---

Entry 5:
A plane-wave DFT calculation with PBE was carried out for a relaxed CsCeSb2Au2 crystal.

a b c (Å): 4.737 4.737 9.918
angles (deg): 90.00 90.00 120.00
Last column: magnetic moment on the atom in μB.
Sites, in units of the cell vectors:
Cs (0.000, 0.000, 0.000)  0.00
Ce (0.000, 0.000, 0.500)  0.84
Sb (0.667, 0.333, 0.291)  -0.01
Sb (0.333, 0.667, 0.709)  -0.01
Au (0.667, 0.333, 0.674)  0.00
Au (0.333, 0.667, 0.326)  0.00

## Properties
As for the theoretical density: 7.8 g/cm3. The calculation puts the total moment at 0.95 μB per cell. As for the total energy: -4.284 eV per atom. The value obtained for the raw formation energy is -66.2 kJ/mol of atoms. The value obtained for the calculated volume is 32.13 Å³/atom.

---

Entry 6:
A plane-wave DFT calculation with PBE was carried out for a relaxed Cs3Ce2AuSe6 crystal.

a b c (Å): 7.889 7.889 8.430
angles (deg): 96.46 96.46 125.07
Sites, in units of the cell vectors:
Cs (0.144, 0.856, 0.500)
Cs (0.856, 0.144, 0.500)
Cs (0.500, 0.500, 0.500)
Ce (0.332, 0.668, 0.000)
Ce (0.668, 0.332, 0.000)
Au (0.000, 0.000, 0.000)
Se (0.943, 0.547, 0.794)
Se (0.739, 0.739, 0.151)
Se (0.057, 0.453, 0.206)
Se (0.547, 0.943, 0.794)
Se (0.261, 0.261, 0.849)
Se (0.453, 0.057, 0.206)

## Properties
As for the theoretical density: 5.4 g/cm3. The calculation puts the total moment at 0.00 μB per cell. As for the total energy: -4.488 eV per atom. The value obtained for the raw formation energy is -122.6 kJ/mol of atoms. The value obtained for the calculated volume is 34.70 Å³/atom.

---

Entry 7:
A plane-wave DFT calculation with PBE was carried out for a relaxed CsCe2AuSe5 crystal.

a b c (Å): 8.159 8.159 9.630
angles (deg): 115.06 115.06 90.00
Last column: magnetic moment on the atom in μB.
Sites, in units of the cell vectors:
Cs (0.250, 0.250, 0.500)  0.00
Cs (0.750, 0.750, 0.500)  0.00
Ce (0.163, 0.337, 0.000)  0.24
Ce (0.663, 0.163, 0.000)  0.24
Ce (0.337, 0.837, 0.000)  0.24
Ce (0.837, 0.663, 0.000)  0.24
Au (0.250, 0.750, 0.500)  -0.02
Au (0.750, 0.250, 0.500)  -0.02
Se (0.974, 0.474, 0.233)  -0.02
Se (0.741, 0.241, 0.767)  -0.02
Se (0.026, 0.526, 0.767)  -0.02
Se (0.241, 0.026, 0.767)  -0.02
Se (0.526, 0.741, 0.767)  -0.02
Se (0.759, 0.974, 0.233)  -0.02
Se (0.474, 0.259, 0.233)  -0.02
Se (0.259, 0.759, 0.233)  -0.02
Se (0.500, 0.500, 0.000)  -0.03
Se (0.000, 0.000, 0.000)  -0.03

## Properties
As for the theoretical density: 6.5 g/cm3. The calculation puts the total moment at 0.62 μB per cell. As for the total energy: -4.997 eV per atom. The value obtained for the raw formation energy is -123.8 kJ/mol of atoms. The value obtained for the calculated volume is 28.51 Å³/atom.

---

Entry 8:
A plane-wave DFT calculation with PBE was carried out for a relaxed CsCe2Au2Se6 crystal.

a b c (Å): 7.829 7.618 8.418
angles (deg): 118.32 84.91 64.04
Sites, in units of the cell vectors:
Cs (0.500, 0.000, 0.500)
Ce (0.824, 0.332, 0.827)
Ce (0.176, 0.668, 0.173)
Au (0.249, 0.751, 0.810)
Au (0.751, 0.249, 0.190)
Se (0.433, 0.786, 0.037)
Se (0.964, 0.422, 0.135)
Se (0.142, 0.823, 0.567)
Se (0.036, 0.578, 0.865)
Se (0.858, 0.177, 0.433)
Se (0.567, 0.214, 0.963)

## Properties
As for the theoretical density: 5.8 g/cm3. The calculation puts the total moment at 0.00 μB per cell. As for the total energy: -4.641 eV per atom. The value obtained for the raw formation energy is -95.3 kJ/mol of atoms. The value obtained for the calculated volume is 33.50 Å³/atom.

---

Entry 9:
A plane-wave DFT calculation with PBE was carried out for a relaxed CsCe4Au3Se12 crystal.

a b c (Å): 9.138 9.138 9.138
angles (deg): 109.47 109.47 109.47
Last column: magnetic moment on the atom in μB.
Sites, in units of the cell vectors:
Cs (0.000, 0.000, 0.000)  0.00
Ce (0.500, 0.000, 0.000)  0.32
Ce (0.500, 0.500, 0.500)  0.32
Ce (0.000, 0.500, 0.000)  0.32
Ce (0.000, 0.000, 0.500)  0.32
Au (0.000, 0.500, 0.500)  0.06
Au (0.500, 0.500, 0.000)  0.06
Au (0.500, 0.000, 0.500)  0.06
Se (0.323, 0.835, 0.158)  0.00
Se (0.677, 0.165, 0.842)  0.00
Se (0.677, 0.835, 0.512)  0.00
Se (0.842, 0.677, 0.165)  0.00
Se (0.835, 0.158, 0.323)  0.00
Se (0.165, 0.488, 0.323)  0.00
Se (0.488, 0.323, 0.165)  0.00
Se (0.165, 0.842, 0.677)  0.00
Se (0.323, 0.165, 0.488)  0.00
Se (0.158, 0.323, 0.835)  0.00
Se (0.835, 0.512, 0.677)  0.00
Se (0.512, 0.677, 0.835)  0.00

## Properties
As for the theoretical density: 6.3 g/cm3. The calculation puts the total moment at 1.72 μB per cell. As for the total energy: -4.769 eV per atom. The value obtained for the raw formation energy is -92.4 kJ/mol of atoms. The value obtained for the calculated volume is 29.37 Å³/atom.

---

Entry 10:
A plane-wave DFT calculation with PBE was carried out for a relaxed Cs2CeAuSe4 crystal.

a b c (Å): 7.338 7.338 7.338
angles (deg): 104.83 111.84 111.84
Sites, in units of the cell vectors:
Cs (0.500, 0.750, 0.250)
Cs (0.000, 0.000, 0.000)
Ce (0.500, 0.250, 0.750)
Au (0.000, 0.500, 0.500)
Se (0.590, 0.329, 0.436)
Se (0.107, 0.260, 0.671)
Se (0.893, 0.564, 0.153)
Se (0.410, 0.847, 0.740)

## Properties
As for the theoretical density: 5.0 g/cm3. The calculation puts the total moment at 0.00 μB per cell. As for the total energy: -4.062 eV per atom. The value obtained for the raw formation energy is -92.1 kJ/mol of atoms. The value obtained for the calculated volume is 37.84 Å³/atom.

---

Entry 11:
A plane-wave DFT calculation with PBE was carried out for a relaxed Cs2CeAu2Se4 crystal.

a b c (Å): 4.463 8.041 9.634
angles (deg): 113.92 103.39 90.00
Last column: magnetic moment on the atom in μB.
Sites, in units of the cell vectors:
Cs (0.144, 0.638, 0.288)  0.00
Cs (0.856, 0.362, 0.712)  0.00
Ce (0.000, 0.000, 0.000)  0.19
Au (0.634, 0.038, 0.268)  -0.01
Au (0.366, 0.962, 0.732)  -0.01
Se (0.177, 0.199, 0.354)  -0.01
Se (0.823, 0.801, 0.646)  -0.01
Se (0.498, 0.757, 0.996)  -0.01
Se (0.502, 0.243, 0.004)  -0.01

## Properties
As for the theoretical density: 6.1 g/cm3. The calculation puts the total moment at 0.12 μB per cell. As for the total energy: -4.171 eV per atom. The value obtained for the raw formation energy is -100.9 kJ/mol of atoms. The value obtained for the calculated volume is 33.96 Å³/atom.